(1)
The following is a GGA-PBE calculation of a geometry-optimized La2HfMgC structure, from Alexandria.

a b c (Å): 5.994 5.994 4.225
angles (deg): 90.00 90.00 90.00
Space group P4/mmm (No. 123)
Inequivalent atoms, fractional coordinates:
La 0.000 0.500 0.000 (multiplicity 2)
Hf 0.000 0.000 0.000 (multiplicity 1)
Mg 0.500 0.500 0.500 (multiplicity 1)
C 0.000 0.000 0.500 (multiplicity 1)

Values from the calculation:
Calculated formation energy = 837.7 meV per atom

***

(2)
The following is a GGA-PBE calculation of a geometry-optimized LaHf2PtC structure, from Alexandria.

a b c (Å): 4.644 4.644 4.361
angles (deg): 90.00 90.00 90.00
Space group P4/mmm (No. 123)
Inequivalent atoms, fractional coordinates:
La 0.000 0.000 0.000 (multiplicity 1)
Hf 0.000 0.500 0.500 (multiplicity 2)
Pt 0.500 0.500 0.000 (multiplicity 1)
C 0.500 0.500 0.500 (multiplicity 1)

Values from the calculation:
Calculated formation energy = -110.7 meV per atom

***

(3)
The following is a GGA-PBE calculation of a geometry-optimized LaHfSb2C structure, from Alexandria.

a b c (Å): 5.381 5.381 5.851
angles (deg): 90.00 90.00 90.00
Space group P4/mmm (No. 123)
Inequivalent atoms, fractional coordinates:
La 0.000 0.000 0.000 (multiplicity 1)
Hf 0.000 0.000 0.500 (multiplicity 1)
Sb 0.000 0.500 0.500 (multiplicity 2)
C 0.500 0.500 0.000 (multiplicity 1)

Values from the calculation:
Formation energy (no corrections) = 1.352 eV/atom

***

One value per record, in order, for spin magnetization: 0.00 0.00 2.57 μB/f.u..
One value per record, in order, for D(E_F): 4.2 5.3 3.3 states/eV/cell.
One value per record, in order, for energy: -26.4 -40.7 -25.6 eV/cell.